[1]
{
  "formula": "CaCeCu2",
  "functional": "GGA-PBE",
  "state": "relaxed",
  "de_polymorph_mev_per_atom": 24,
  "crystal_system": "tetragonal",
  "delta_e_f_ev_per_atom": -0.059,
  "lattice_angstrom": [[-3.106, 1.414, -0.952], [0.785, -0.570, -3.408], [-3.058, -6.466, 0.377]],
  "species": ["Cu", "Cu", "Ca", "Ce"],
  "frac_coords": [[0.000, 0.000, 0.224], [0.000, 0.000, 0.776], [0.500, 0.500, 0.500], [0.500, 0.500, 0.000]]
}


[2]
{
  "formula": "NaPuSO",
  "functional": "GGA-PBE",
  "state": "relaxed",
  "formation_energy_uncorrected_ev_per_atom": -1.943,
  "crystal_system": "trigonal",
  "lattice_angstrom": [[-0.763, 0.521, 3.621], [0.894, -2.634, 2.496], [5.640, 1.952, 2.836]],
  "species": ["S", "O", "Na", "Pu"],
  "frac_coords": [[0.744, 0.744, 0.767], [0.268, 0.268, 0.196], [0.502, 0.502, 0.495], [0.986, 0.986, 0.043]]
}


[3]
{
  "formula": "TiNbCoBr",
  "functional": "GGA-PBE",
  "state": "relaxed",
  "de_polymorph_mev_per_atom": 249,
  "formation_energy_uncorrected_ev_per_atom": 0.044,
  "crystal_system": "orthorhombic",
  "lattice_angstrom": [[3.271, 0.000, 0.000], [0.000, 3.356, 0.000], [0.000, 0.000, 13.847]],
  "species": ["Br", "Br", "Nb", "Nb", "Co", "Co", "Ti", "Ti"],
  "frac_coords": [[0.000, 0.500, 0.988], [0.000, 0.000, 0.488], [0.500, 0.500, 0.611], [0.500, 0.000, 0.111], [0.500, 0.000, 0.735], [0.500, 0.500, 0.235], [0.000, 0.000, 0.288], [0.000, 0.500, 0.788]]
}


[4]
{
  "formula": "TbPmGe3",
  "functional": "GGA-PBE",
  "state": "relaxed",
  "crystal_system": "orthorhombic",
  "delta_e_f_ev_per_atom": -0.696,
  "lattice_angstrom": [[-3.130, 1.398, -2.096], [-2.516, -2.850, 1.856], [-1.438, 10.271, 9.000]],
  "species": ["Ge", "Ge", "Ge", "Ge", "Ge", "Ge", "Pm", "Pm", "Tb", "Tb"],
  "frac_coords": [[0.750, 0.313, 0.627], [0.750, 0.529, 0.058], [0.250, 0.687, 0.373], [0.250, 0.471, 0.942], [0.750, 0.624, 0.248], [0.250, 0.376, 0.752], [0.750, 0.927, 0.854], [0.250, 0.073, 0.146], [0.250, 0.796, 0.592], [0.750, 0.204, 0.408]]
}


[5]
{
  "formula": "CaHo3As4",
  "functional": "GGA-PBE",
  "state": "relaxed",
  "crystal_system": "monoclinic",
  "delta_e_f_ev_per_atom": -1.368,
  "lattice_angstrom": [[-1.483, 6.846, 1.408], [-5.151, -2.769, -4.147], [-4.205, -2.301, 6.760]],
  "species": ["Ho", "Ho", "Ho", "Ho", "Ho", "Ho", "As", "As", "As", "As", "As", "As", "As", "As", "Ca", "Ca"],
  "frac_coords": [[0.750, 0.500, 0.626], [0.250, 0.500, 0.374], [0.250, 0.500, 0.876], [0.250, 0.000, 0.626], [0.750, 0.000, 0.374], [0.750, 0.500, 0.124], [0.501, 0.741, 0.130], [0.004, 0.252, 0.621], [0.996, 0.748, 0.379], [0.999, 0.259, 0.130], [0.504, 0.252, 0.379], [0.499, 0.259, 0.870], [0.496, 0.748, 0.621], [0.001, 0.741, 0.870], [0.250, 0.000, 0.124], [0.750, 0.000, 0.876]]
}


[6]
{
  "formula": "Li2H2I",
  "functional": "GGA-PBE",
  "state": "relaxed",
  "de_polymorph_mev_per_atom": 0,
  "crystal_system": "triclinic",
  "lattice_angstrom": [[-2.075, 2.224, -2.717], [-5.546, -5.113, -0.079], [0.486, 2.036, 6.831]],
  "species": ["H", "H", "H", "H", "Li", "Li", "Li", "Li", "I", "I"],
  "frac_coords": [[0.956, 0.458, 0.448], [0.272, 0.142, 0.518], [0.728, 0.858, 0.482], [0.044, 0.542, 0.552], [0.485, 0.656, 0.220], [0.348, 0.920, 0.601], [0.515, 0.344, 0.780], [0.652, 0.080, 0.399], [0.750, 0.741, 0.967], [0.250, 0.259, 0.033]]
}


Here are the calculated theoretical density numbers, same order: 5.675 6.926 6.108 7.514 6.929 2.631 (g/cm3).